Here is a relaxed InBiS3 crystal from Alexandria. Energies are from PBE.

a = 3.846 Å, b = 6.970 Å, c = 10.885 Å
α = 108.67°, β = 90.00°, γ = 90.00°
Atoms (fractional coordinates):
1 In 0.250 0.877 0.299
2 In 0.750 0.578 0.701
3 S 0.250 0.609 0.530
4 S 0.250 0.453 0.813
5 S 0.750 0.640 0.187
6 S 0.750 0.962 0.824
7 S 0.250 0.139 0.176
8 S 0.750 0.079 0.470
9 Bi 0.750 0.373 0.325
10 Bi 0.250 0.048 0.675

ΔE_f (raw): -9.6 kcal/mol of atoms
spin magnetization: 0.000 μB/atom
space-group type: Ama2 (40)
E: -4.218 eV/atom